Entry P
A geometry-optimized Al4Ir structure, computed with PBE.

Unit cell a=7.1441 b=7.1441 c=7.1441 alpha=151.43 beta=151.43 gamma=40.85
Fractional positions:
1 Ir 0.0000 0.0000 0.0000
2 Al 0.4067 0.4067 0.0000
3 Al 0.7500 0.2500 0.5000
4 Al 0.5933 0.5933 0.0000
5 Al 0.2500 0.7500 0.5000

Calculated volume   83.2 Å³/f.u.
Magnetic moment   0.00 μB/f.u.

Entry Q
A geometry-optimized Al4Ir structure, computed with PBE.

Unit cell a=8.8860 b=8.8792 c=8.8792 alpha=86.25 beta=58.95 gamma=58.95
Fractional positions:
1 Ir 0.2500 0.7695 0.2305
2 Ir 0.7015 0.7774 0.6290
3 Ir 0.7985 0.3710 0.2226
4 Ir 0.7500 0.2305 0.7695
5 Ir 0.2985 0.2226 0.3710
6 Ir 0.2015 0.6290 0.7774
7 Al 0.3605 0.8086 0.7312
8 Al 0.5392 0.1471 0.0379
9 Al 0.5442 0.8498 0.2052
10 Al 0.6169 0.3660 0.5639
11 Al 0.6265 0.4769 0.0493
12 Al 0.0392 0.0379 0.1471
13 Al 0.4608 0.8529 0.9621
14 Al 0.9608 0.9621 0.8529
15 Al 0.0000 0.5000 0.0000
16 Al 0.4558 0.1502 0.7948
17 Al 0.9558 0.7948 0.1502
18 Al 0.1265 0.0493 0.4769
19 Al 0.6395 0.1914 0.2688
20 Al 0.3735 0.5231 0.9507
21 Al 0.0442 0.2052 0.8498
22 Al 0.2500 0.3668 0.6332
23 Al 0.8831 0.4361 0.6340
24 Al 0.8605 0.7312 0.8086
25 Al 0.7500 0.6332 0.3668
26 Al 0.1395 0.2688 0.1914
27 Al 0.8735 0.9507 0.5231
28 Al 0.1169 0.5639 0.3660
29 Al 0.3831 0.6340 0.4361
30 Al 0.5000 0.0000 0.5000

Calculated volume   82.4 Å³/f.u.
Magnetic moment   0.00 μB/f.u.

Entry R
A geometry-optimized Al4Ir structure, computed with PBE.

Unit cell a=4.9971 b=4.9971 c=4.9971 alpha=109.47 beta=109.47 gamma=109.47
Fractional positions:
1 Al 0.0000 0.5000 0.0000
2 Al 0.5000 0.5000 0.5000
3 Al 0.5000 0.0000 0.0000
4 Al 0.0000 0.0000 0.5000
5 Ir 0.0000 0.0000 0.0000

Calculated volume   96.1 Å³/f.u.
Magnetic moment   0.00 μB/f.u.

Structures ranked by computed energy, the most stable listed first: entry Q, entry R, entry P.

Entry P
A geometry-optimized Al4Ir structure, computed with PBE.

Unit cell a=4.7810 b=4.7810 c=4.7810 alpha=99.54 beta=99.54 gamma=131.95
Fractional positions:
1 Al 0.6064 0.8006 0.4070
2 Al 0.8006 0.3936 0.1943
3 Al 0.3936 0.1994 0.5930
4 Al 0.1994 0.6064 0.8057
5 Ir 0.0000 0.0000 0.0000

Calculated volume   74.2 Å³/f.u.
Magnetic moment   0.00 μB/f.u.

Entry Q
A geometry-optimized Al4Ir structure, computed with PBE.

Unit cell a=4.7617 b=4.7617 c=4.7617 alpha=90.00 beta=90.00 gamma=90.00
Fractional positions:
1 Al 0.0000 0.0000 0.0000
2 Al 0.0000 0.5000 0.5000
3 Al 0.5000 0.5000 0.0000
4 Al 0.5000 0.0000 0.5000
5 Ir 0.5000 0.5000 0.5000

Calculated volume   108.0 Å³/f.u.
Magnetic moment   0.00 μB/f.u.

Structures ranked by computed energy, the most stable listed first: entry P, entry Q.

Entry P
A geometry-optimized Al5Ir3 structure, computed with PBE.

Unit cell a=5.3228 b=5.3228 c=4.1132 alpha=90.00 beta=90.00 gamma=103.47
Fractional positions:
1 Al 0.0000 0.0000 0.0000
2 Al 0.7312 0.7312 0.5000
3 Al 0.5000 0.0000 0.0000
4 Al 0.0000 0.5000 0.0000
5 Al 0.2688 0.2688 0.5000
6 Ir 0.5000 0.5000 0.0000
7 Ir 0.2301 0.7699 0.5000
8 Ir 0.7699 0.2301 0.5000

Calculated volume   113.3 Å³/f.u.
Magnetic moment   0.00 μB/f.u.

Entry Q
A geometry-optimized Al5Ir3 structure, computed with PBE.

Unit cell a=7.4693 b=6.8998 c=6.9110 alpha=96.67 beta=95.80 gamma=135.69
Fractional positions:
1 Ir 0.9056 0.3768 0.1663
2 Ir 0.0936 0.6232 0.8337
3 Ir 0.2496 0.2885 0.0367
4 Ir 0.5938 0.7613 0.4693
5 Ir 0.4053 0.2386 0.5307
6 Ir 0.7496 0.7116 0.9634
7 Al 0.7498 0.2420 0.4916
8 Al 0.0137 0.1348 0.3221
9 Al 0.8259 0.0941 0.8246
10 Al 0.5108 0.1882 0.8799
11 Al 0.4884 0.8119 0.1201
12 Al 0.1733 0.9060 0.1754
13 Al 0.9854 0.8652 0.6779
14 Al 0.6717 0.4971 0.2689
15 Al 0.3275 0.5029 0.7311
16 Al 0.2493 0.7580 0.5084

Calculated volume   119.1 Å³/f.u.
Magnetic moment   0.00 μB/f.u.

Entry R
A geometry-optimized Al5Ir3 structure, computed with PBE.

Unit cell a=7.4065 b=7.4065 c=5.1122 alpha=90.00 beta=90.00 gamma=120.00
Fractional positions:
1 Ir 0.6140 0.6140 0.7500
2 Ir 0.3860 0.0000 0.7500
3 Ir 0.6140 0.0000 0.2500
4 Ir 0.0000 0.6140 0.2500
5 Ir 0.0000 0.3860 0.7500
6 Ir 0.3860 0.3860 0.2500
7 Al 0.3333 0.6667 0.0000
8 Al 0.6667 0.3333 0.0000
9 Al 0.0000 0.2534 0.2500
10 Al 0.0000 0.7466 0.7500
11 Al 0.7466 0.0000 0.7500
12 Al 0.2534 0.2534 0.7500
13 Al 0.6667 0.3333 0.5000
14 Al 0.7466 0.7466 0.2500
15 Al 0.2534 0.0000 0.2500
16 Al 0.3333 0.6667 0.5000

Calculated volume   121.4 Å³/f.u.
Magnetic moment   0.00 μB/f.u.

Structures ranked by computed energy, the most stable listed first: entry Q, entry P, entry R.

Entry P
A geometry-optimized AlIr5 structure, computed with PBE.

Unit cell a=6.1517 b=6.1517 c=3.8367 alpha=90.00 beta=90.00 gamma=143.34
Fractional positions:
1 Ir 0.8056 0.1944 0.5000
2 Ir 0.6415 0.3585 0.0000
3 Ir 0.1388 0.8612 0.5000
4 Ir 0.3030 0.6970 0.0000
5 Ir 0.4722 0.5278 0.5000
6 Al 0.9722 0.0278 0.0000

Calculated volume   86.7 Å³/f.u.
Magnetic moment   0.00 μB/f.u.

Entry Q
A geometry-optimized AlIr5 structure, computed with PBE.

Unit cell a=4.7743 b=4.7743 c=4.3935 alpha=90.00 beta=90.00 gamma=120.00
Fractional positions:
1 Ir 0.6647 0.0000 0.0000
2 Ir 0.3333 0.6667 0.5000
3 Ir 0.0000 0.6647 0.0000
4 Ir 0.6667 0.3333 0.5000
5 Ir 0.3353 0.3353 0.0000
6 Al 0.0000 0.0000 0.5000

Calculated volume   86.7 Å³/f.u.
Magnetic moment   0.00 μB/f.u.

Structures ranked by computed energy, the most stable listed first: entry P, entry Q.

Entry P
A geometry-optimized AlIr5 structure, computed with PBE.

Unit cell a=5.1314 b=5.1314 c=5.1314 alpha=60.00 beta=60.00 gamma=60.00
Fractional positions:
1 Ir 0.3752 0.8743 0.3752
2 Ir 0.7500 0.7500 0.7500
3 Ir 0.3752 0.3752 0.3752
4 Ir 0.8743 0.3752 0.3752
5 Ir 0.3752 0.3752 0.8743
6 Al 0.0000 0.0000 0.0000

Calculated volume   95.5 Å³/f.u.
Magnetic moment   0.00 μB/f.u.

Entry Q
A geometry-optimized AlIr5 structure, computed with PBE.

Unit cell a=5.1383 b=5.1383 c=6.5951 alpha=75.16 beta=75.16 gamma=31.03
Fractional positions:
1 Ir 0.3368 0.3368 0.3269
2 Ir 0.9428 0.9428 0.6083
3 Ir 0.2785 0.2785 0.9486
4 Ir 0.6621 0.6621 0.6754
5 Ir 0.6134 0.6134 0.2750
6 Al 0.9996 0.9996 0.9992

Calculated volume   86.5 Å³/f.u.
Magnetic moment   0.00 μB/f.u.

Structures ranked by computed energy, the most stable listed first: entry Q, entry P.

Entry P
A geometry-optimized AlIr5 structure, computed with PBE.

Unit cell a=7.1956 b=7.1956 c=4.4171 alpha=90.00 beta=90.00 gamma=157.70
Fractional positions:
1 Ir 0.1109 0.8891 0.5000
2 Ir 0.6620 0.3380 0.0000
3 Ir 0.7800 0.2200 0.5000
4 Ir 0.4456 0.5544 0.5000
5 Ir 0.3359 0.6641 0.0000
6 Al 0.9989 0.0011 0.0000

Calculated volume   86.8 Å³/f.u.
Magnetic moment   0.00 μB/f.u.

Entry Q
A geometry-optimized AlIr5 structure, computed with PBE.

Unit cell a=2.7615 b=2.7615 c=11.3021 alpha=90.00 beta=90.00 gamma=90.00
Fractional positions:
1 Ir 0.5000 0.5000 0.3307
2 Ir 0.0000 0.0000 0.5000
3 Ir 0.5000 0.5000 0.6693
4 Ir 0.0000 0.0000 0.8407
5 Ir 0.0000 0.0000 0.1593
6 Al 0.5000 0.5000 0.0000

Calculated volume   86.2 Å³/f.u.
Magnetic moment   0.00 μB/f.u.

Structures ranked by computed energy, the most stable listed first: entry Q, entry P.

Entry P
A geometry-optimized Al4Ir3 structure, computed with PBE.

Unit cell a=4.2466 b=4.2466 c=7.2084 alpha=72.87 beta=72.87 gamma=60.00
Fractional positions:
1 Ir 0.0000 0.0000 0.0000
2 Ir 0.7472 0.7472 0.7585
3 Ir 0.2528 0.2528 0.2415
4 Al 0.6159 0.6159 0.1523
5 Al 0.3841 0.3841 0.8477
6 Al 0.1296 0.1296 0.6111
7 Al 0.8704 0.8704 0.3889

Calculated volume   105.9 Å³/f.u.
Magnetic moment   0.00 μB/f.u.

Entry Q
A geometry-optimized Al4Ir3 structure, computed with PBE.

Unit cell a=10.0257 b=10.0257 c=10.0257 alpha=161.45 beta=161.45 gamma=26.35
Fractional positions:
1 Ir 0.6997 0.6997 0.0000
2 Ir 0.0000 0.0000 0.0000
3 Ir 0.3003 0.3003 0.0000
4 Al 0.5684 0.5684 0.0000
5 Al 0.4316 0.4316 0.0000
6 Al 0.8536 0.8536 0.0000
7 Al 0.1464 0.1464 0.0000

Calculated volume   102.0 Å³/f.u.
Magnetic moment   0.00 μB/f.u.

Structures ranked by computed energy, the most stable listed first: entry P, entry Q.

Entry P
A geometry-optimized Al3Ir5 structure, computed with PBE.

Unit cell a=7.1309 b=7.1309 c=5.2626 alpha=90.00 beta=90.00 gamma=120.00
Fractional positions:
1 Al 0.4045 0.0000 0.7500
2 Al 0.5955 0.5955 0.7500
3 Al 0.0000 0.5955 0.2500
4 Al 0.5955 0.0000 0.2500
5 Al 0.0000 0.4045 0.7500
6 Al 0.4045 0.4045 0.2500
7 Ir 0.0000 0.7713 0.7500
8 Ir 0.6667 0.3333 0.0000
9 Ir 0.2287 0.2287 0.7500
10 Ir 0.7713 0.7713 0.2500
11 Ir 0.3333 0.6667 0.0000
12 Ir 0.3333 0.6667 0.5000
13 Ir 0.6667 0.3333 0.5000
14 Ir 0.2287 0.0000 0.2500
15 Ir 0.0000 0.2287 0.2500
16 Ir 0.7713 0.0000 0.7500

Calculated volume   115.9 Å³/f.u.
Magnetic moment   0.00 μB/f.u.

Entry Q
A geometry-optimized Al3Ir5 structure, computed with PBE.

Unit cell a=5.3472 b=5.3472 c=4.0133 alpha=90.00 beta=90.00 gamma=98.71
Fractional positions:
1 Al 0.7744 0.2256 0.5000
2 Al 0.2256 0.7744 0.5000
3 Al 0.5000 0.5000 0.0000
4 Ir 0.0000 0.5000 0.0000
5 Ir 0.2791 0.2791 0.5000
6 Ir 0.7209 0.7209 0.5000
7 Ir 0.5000 0.0000 0.0000
8 Ir 0.0000 0.0000 0.0000

Calculated volume   113.4 Å³/f.u.
Magnetic moment   0.00 μB/f.u.

Structures ranked by computed energy, the most stable listed first: entry Q, entry P.